A plane-wave DFT calculation with PBE was carried out for a relaxed TbPm7Ho12 crystal.

Properties
The total energy comes out at -3.986 eV per atom. Its density of states at the Fermi level is 27.3 states/eV/cell. As for the polymorph energy (0 for the lowest one): 40.6 kJ/mol of atoms. As for the calculated formation energy: 0.655 eV per atom. As for the space group: Im-3m.

The structure in POSCAR format:
```
TbPm7Ho12
1.0
-5.631 5.631 5.631
5.631 -5.631 5.631
5.631 5.631 -5.631
Tb Pm Ho
1 7 12
direct
0.000 0.000 0.000
0.000 0.000 0.500
0.000 0.500 0.000
0.000 0.500 0.500
0.500 0.000 0.000
0.500 0.000 0.500
0.500 0.500 0.000
0.500 0.500 0.500
0.000 0.248 0.752
0.000 0.752 0.248
0.248 0.000 0.752
0.248 0.248 0.495
0.248 0.495 0.248
0.248 0.752 0.000
0.495 0.248 0.248
0.505 0.752 0.752
0.752 0.000 0.248
0.752 0.248 0.000
0.752 0.505 0.752
0.752 0.752 0.505
```


A plane-wave DFT calculation with PBE was carried out for a relaxed Y2TaAu crystal.

Properties
The total energy comes out at -6.967 eV per atom. Its density of states at the Fermi level is 4.2 states/eV/cell. As for the polymorph energy (0 for the lowest one): 20.4 kJ/mol of atoms. As for the calculated formation energy: 0.047 eV per atom. As for the space group: R-3m.

The structure in POSCAR format:
```
Y2TaAu
1.0
1.680 0.970 9.782
-1.680 0.970 9.782
0.000 -1.940 9.782
Y Ta Au
2 1 1
direct
0.248 0.248 0.248
0.752 0.752 0.752
0.000 0.000 0.000
0.500 0.500 0.500
```


A plane-wave DFT calculation with PBE was carried out for a relaxed LaCe2Au4 crystal.

Properties
The total energy comes out at -4.813 eV per atom. Its density of states at the Fermi level is 18.9 states/eV/cell. As for the calculated formation energy: -0.541 eV per atom. As for the space group: I4/mmm.

The structure in POSCAR format:
```
LaCe2Au4
1.0
-2.682 2.682 6.723
2.682 -2.682 6.723
2.682 2.682 -6.723
La Ce Au
1 2 4
direct
0.000 0.000 0.000
0.275 0.275 0.000
0.725 0.725 0.000
0.126 0.626 0.500
0.374 0.874 0.500
0.626 0.126 0.500
0.874 0.374 0.500
```